# 1
DFT (PBE) results for a relaxed structure of AgP2HO.

The space group is P4/mmm (No. 123) and the conventional cell measures 3.552, 3.552 and 4.704 Å, with angles of 90.00, 90.00 and 90.00 degrees. Symmetry generates all atoms from Ag at (0.000, 0.000, 0.000), P at (0.000, 0.500, 0.500), H at (0.500, 0.500, 0.500) and O at (0.500, 0.500, 0.000).

Its polymorph energy (0 for the lowest one) is 0 meV per atom.

# 2
DFT (PBE) results for a relaxed structure of AgP2HO6.

The space group is C2/c (No. 15) and the conventional cell measures 11.283, 10.835 and 4.702 Å, with angles of 90.00, 107.64 and 90.00 degrees. Symmetry generates all atoms from Ag at (0.000, 0.104, 0.250), P at (0.182, 0.416, 0.668), H at (0.000, 0.321, 0.750), O at (0.090, 0.314, 0.665), O at (0.146, 0.464, 0.328) and O at (0.183, 0.115, 0.207).

# 3
DFT (PBE) results for a relaxed structure of Ag2P2H2O7.

The space group is Fddd (No. 70, origin choice 2) and the conventional cell measures 7.123, 12.412 and 28.441 Å, with angles of 90.00, 90.00 and 90.00 degrees. Symmetry generates all atoms from Ag at (0.024, 0.266, 0.425), P at (0.033, 0.019, 0.304), H at (0.125, 0.125, 0.512), H at (0.125, 0.304, 0.625), O at (0.031, 0.044, 0.740), O at (0.071, 0.287, 0.334), O at (0.110, 0.305, 0.667) and O at (0.125, 0.125, 0.280).

# 4
DFT (PBE) results for a relaxed structure of AgP2HO.

The space group is P4/mmm (No. 123) and the conventional cell measures 4.850, 4.850 and 3.981 Å, with angles of 90.00, 90.00 and 90.00 degrees. Symmetry generates all atoms from Ag at (0.000, 0.000, 0.000), P at (0.000, 0.500, 0.000), H at (0.500, 0.500, 0.500) and O at (0.000, 0.000, 0.500).

Its polymorph energy (0 for the lowest one) is 819 meV per atom.

# 5
DFT (PBE) results for a relaxed structure of Pa3AgH4O12.

The space group is R32 (No. 155, hexagonal axes) and the conventional cell measures 10.2934, 10.2934 and 8.3284 Å, with angles of 90.00, 90.00 and 120.00 degrees. Symmetry generates all atoms from Pa at (0.0000, 0.5409, 0.0000), Ag at (0.0000, 0.0000, 0.0000), H at (0.0000, 0.0000, 0.5000), H at (0.0000, 0.3958, 0.5000), O at (0.0000, 0.6169, 0.5000), O at (0.0000, 0.8629, 0.5000) and O at (0.0174, 0.2152, 0.1852).

# 6
DFT (PBE) results for a relaxed structure of PrAgH2O4.

The space group is I222 (No. 23) and the conventional cell measures 4.991, 5.554 and 6.381 Å, with angles of 90.00, 90.00 and 90.00 degrees. Symmetry generates all atoms from Pr at (0.000, 0.000, 0.000), Ag at (0.000, 0.000, 0.500), H at (0.000, 0.500, 0.203) and O at (0.205, 0.384, 0.791).

# 7
DFT (PBE) results for a relaxed structure of Ag2HRhO.

The space group is P4/mmm (No. 123) and the conventional cell measures 4.730, 4.730 and 3.759 Å, with angles of 90.00, 90.00 and 90.00 degrees. Symmetry generates all atoms from Ag at (0.000, 0.500, 0.000), H at (0.000, 0.000, 0.500), Rh at (0.500, 0.500, 0.500) and O at (0.500, 0.500, 0.000).

# 8
DFT (PBE) results for a relaxed structure of AgH6S2O2.

The space group is P-1 (No. 2) and the conventional cell measures 3.622, 6.698 and 7.101 Å, with angles of 102.91, 104.22 and 104.24 degrees. Symmetry generates all atoms from Ag at (0.000, 0.000, 0.000), H at (0.124, 0.364, 0.711), H at (0.217, 0.770, 0.658), H at (0.250, 0.167, 0.620), S at (0.304, 0.733, 0.843) and O at (0.016, 0.207, 0.636).

E for every record listed, in sequence, given in eV/atom: -3.6977; -6.3217; -5.9020; -2.8788; -6.9668; -5.5535; -3.6368; -4.2818.